1.
DFT (PBEsol) results for KFe after structural relaxation.

The structure in CIF format:
```
data_KFe
_space_group_name_H-M_alt 'R -3 m'
_space_group_IT_number 166
_space_group_name_Hall '-R 3 2"'
_cell_length_a 5.6583
_cell_length_b 5.6583
_cell_length_c 11.7677
_cell_angle_alpha 90.00
_cell_angle_beta 90.00
_cell_angle_gamma 120.00
loop_
_atom_site_label
_atom_site_type_symbol
_atom_site_fract_x
_atom_site_fract_y
_atom_site_fract_z
K1 K 0.0000 0.0000 0.1361
Fe1 Fe 0.0000 0.0000 0.4109
```

## Properties
Offset from the most stable computed form: 277.1 meV/atom
Final energy: -3.75 eV per atom
ΔH_f (0 K): 1295 meV per atom



2.
DFT (PBEsol) results for KFe after structural relaxation.

The structure in CIF format:
```
data_KFe
_space_group_name_H-M_alt 'P m -3 m'
_space_group_IT_number 221
_space_group_name_Hall '-P 4 2 3'
_cell_length_a 3.844
_cell_length_b 3.844
_cell_length_c 3.844
_cell_angle_alpha 90.00
_cell_angle_beta 90.00
_cell_angle_gamma 90.00
loop_
_atom_site_label
_atom_site_type_symbol
_atom_site_fract_x
_atom_site_fract_y
_atom_site_fract_z
K1 K 0.000 0.000 0.000
Fe1 Fe 0.500 0.500 0.500
```

## Properties
Offset from the most stable computed form: 671.1 meV/atom
Final energy: -3.36 eV per atom
ΔH_f (0 K): 1689 meV per atom



3.
DFT (PBEsol) results for KFe2 after structural relaxation.

The structure in CIF format:
```
data_KFe2
_space_group_name_H-M_alt 'I 4/m m m'
_space_group_IT_number 139
_space_group_name_Hall '-I 4 2'
_cell_length_a 3.037
_cell_length_b 3.037
_cell_length_c 12.380
_cell_angle_alpha 90.00
_cell_angle_beta 90.00
_cell_angle_gamma 90.00
loop_
_atom_site_label
_atom_site_type_symbol
_atom_site_fract_x
_atom_site_fract_y
_atom_site_fract_z
K1 K 0.000 0.000 0.000
Fe1 Fe 0.000 0.000 0.283
```

## Properties
Final energy: -5.47 eV per atom
ΔH_f (0 K): 887 meV per atom



4.
DFT (PBEsol) results for KFe2 after structural relaxation.

The structure in CIF format:
```
data_KFe2
_space_group_name_H-M_alt 'F m -3 m'
_space_group_IT_number 225
_space_group_name_Hall '-F 4 2 3'
_cell_length_a 6.664
_cell_length_b 6.664
_cell_length_c 6.664
_cell_angle_alpha 90.00
_cell_angle_beta 90.00
_cell_angle_gamma 90.00
loop_
_atom_site_label
_atom_site_type_symbol
_atom_site_fract_x
_atom_site_fract_y
_atom_site_fract_z
K1 K 0.000 0.000 0.000
Fe1 Fe 0.250 0.250 0.250
```

## Properties
Final energy: -3.89 eV per atom
ΔH_f (0 K): 2468 meV per atom



5.
DFT (PBEsol) results for KFe2 after structural relaxation.

The structure in CIF format:
```
data_KFe2
_space_group_name_H-M_alt 'P -3 m 1'
_space_group_IT_number 164
_space_group_name_Hall '-P 3 2"'
_cell_length_a 4.8046
_cell_length_b 4.8046
_cell_length_c 2.6511
_cell_angle_alpha 90.00
_cell_angle_beta 90.00
_cell_angle_gamma 120.00
loop_
_atom_site_label
_atom_site_type_symbol
_atom_site_fract_x
_atom_site_fract_y
_atom_site_fract_z
K1 K 0.0000 0.0000 0.0000
Fe1 Fe 0.3333 0.6667 0.4963
```

## Properties
Final energy: -4.92 eV per atom
ΔH_f (0 K): 1430 meV per atom



6.
DFT (PBEsol) results for KLa3Fe after structural relaxation.

The structure in CIF format:
```
data_KLa3Fe
_space_group_name_H-M_alt 'P m -3 m'
_space_group_IT_number 221
_space_group_name_Hall '-P 4 2 3'
_cell_length_a 5.470
_cell_length_b 5.470
_cell_length_c 5.470
_cell_angle_alpha 90.00
_cell_angle_beta 90.00
_cell_angle_gamma 90.00
loop_
_atom_site_label
_atom_site_type_symbol
_atom_site_fract_x
_atom_site_fract_y
_atom_site_fract_z
K1 K 0.000 0.000 0.000
La1 La 0.000 0.500 0.500
Fe1 Fe 0.500 0.500 0.500
```

## Properties
Final energy: -4.98 eV per atom
ΔH_f (0 K): 249 meV per atom



7.
DFT (PBEsol) results for KLaFe2 after structural relaxation.

The structure in CIF format:
```
data_KLaFe2
_space_group_name_H-M_alt 'I 4/m m m'
_space_group_IT_number 139
_space_group_name_Hall '-I 4 2'
_cell_length_a 5.065
_cell_length_b 5.065
_cell_length_c 7.042
_cell_angle_alpha 90.00
_cell_angle_beta 90.00
_cell_angle_gamma 90.00
loop_
_atom_site_label
_atom_site_type_symbol
_atom_site_fract_x
_atom_site_fract_y
_atom_site_fract_z
K1 K 0.000 0.000 0.000
La1 La 0.000 0.000 0.500
Fe1 Fe 0.000 0.500 0.250
```

## Properties
Final energy: -4.96 eV per atom
ΔH_f (0 K): 1143 meV per atom



8.
DFT (PBEsol) results for K4LiFe after structural relaxation.

The structure in CIF format:
```
data_K4LiFe
_space_group_name_H-M_alt 'F -4 3 m'
_space_group_IT_number 216
_space_group_name_Hall 'F -4 2 3'
_cell_length_a 10.529
_cell_length_b 10.529
_cell_length_c 10.529
_cell_angle_alpha 90.00
_cell_angle_beta 90.00
_cell_angle_gamma 90.00
loop_
_atom_site_label
_atom_site_type_symbol
_atom_site_fract_x
_atom_site_fract_y
_atom_site_fract_z
K1 K 0.124 0.124 0.376
Li1 Li 0.000 0.000 0.000
Fe1 Fe 0.250 0.250 0.750
```

## Properties
Final energy: -1.68 eV per atom
ΔH_f (0 K): 900 meV per atom